PBE-GGA TlTe4Pt, relaxed; ΔE_f (raw) = 0.595 eV/atom; space-group type = F-43m; uncorrected energy = -0.107 Ha/atom; DOS(E_F) = 7.75 states/eV/f.u.
1.0
3.421 3.945 3.551
-2.854 3.724 4.227
0.704 -1.115 6.176
Tl Pt Te
1 1 4
Direct
0.750 0.750 0.750
0.000 0.000 0.000
0.373 0.373 0.882
0.373 0.882 0.373
0.373 0.373 0.373
0.882 0.373 0.373